VASP calculation (GGA-PBE) on a relaxed ZnPt2N crystal.

Density   11.274 g/cm3
Symmetry   I-42d, No. 122
DOS at the Fermi energy   0.257 states/eV/atom
Raw total energy   -39.9 eV/cell
Relative energy among the computed polymorphs   0.0000 eV/atom

Cell: 6.749 6.749 6.749 Å, 137.58 137.58 61.55°
Element x y z (fractional)
Zn: 0.000 0.000 0.000
Zn: 0.750 0.250 0.500
Pt: 0.240 0.625 0.115
Pt: 0.375 0.490 0.615
Pt: 0.510 0.125 0.885
Pt: 0.875 0.760 0.385
N: 0.250 0.750 0.500
N: 0.500 0.500 0.000